(1)
DFT (PBE) results for a relaxed structure of La2Nd3Dy6Tm.

a b c (Å): 6.2580 10.8369 11.8963
angles (deg): 90.00 100.07 90.00
Last column: nearest neighbours and their distance in Å.
Space group C2/m (No. 12)
Unique sites:
1 La 0.0000 0.1661 0.0000 x4  6 Dy 3.60, 3 La 3.60-3.62, 3 Tm 3.61-3.62
2 Nd 0.0000 0.0000 0.5000 x2  6 Dy 3.59-3.60, 6 Nd 3.61
3 Nd 0.0000 0.3332 0.5000 x4  6 Dy 3.59-3.60, 6 Nd 3.61-3.62
4 Dy 0.2482 0.5000 0.7495 x4  3 Nd 3.59-3.60, 1 Tm 3.59, 6 Dy 3.60-3.62, 2 La 3.60
5 Dy 0.2504 0.1660 0.7498 x8  3 Nd 3.59-3.60, 1 Tm 3.59, 2 La 3.60, 6 Dy 3.60-3.62
6 Tm 0.0000 0.5000 0.0000 x2  6 Dy 3.59, 6 La 3.61-3.62

Summary:
Fermi-level density of states ... 14.571 states/eV/f.u.
Electronic total energy ... -4.671 eV/atom

=====

(2)
DFT (PBE) results for a relaxed structure of Li6In2Pb.

a b c (Å): 8.5309 8.7697 4.7106
angles (deg): 90.00 90.00 90.00
Last column: nearest neighbours and their distance in Å.
Space group Pnnm (No. 58)
Unique sites:
1 Li 0.0071 0.1677 0.0000 x4  4 Li 2.85-2.94, 3 In 2.86-2.91, 1 Pb 2.91
2 Li 0.1626 0.0646 0.5000 x4  6 Li 2.85-3.12, 3 In 2.93-3.14, 1 Pb 2.93
3 Li 0.1760 0.3927 0.5000 x4  4 Li 2.87-3.12, 2 Pb 2.95, 4 In 2.96-3.09
4 In 0.1638 0.7305 0.5000 x4  10 Li 2.86-3.14
5 Pb 0.0000 0.5000 0.0000 x2  8 Li 2.91-2.95

Summary:
Fermi-level density of states ... 3.154 states/eV/f.u.
Excess energy over the best structure of this formula in the dataset ... 0.0299 eV per atom